The following is a DFT calculation (PBE-GGA) of LaErTl after structural relaxation.

abc: 5.293 5.293 5.293
angles: 60.00 60.00 60.00
Atoms (fractional coordinates):
La: 0.000 0.000 0.000
Er: 0.500 0.500 0.500
Tl: 0.750 0.750 0.750

Space-group type   F-43m (216)
Calculated density   8.09 g cm⁻³
E_tot   -12.0 eV per cell